First-principles (PBE-GGA) data for a geometry-optimized CaTcIr structure, as listed in Alexandria.

Energy above the lowest structure with this stoichiometry in eV per formula unit: 0.71
Total energy in eV/cell: -41.96

a = 7.834 Å, b = 2.953 Å, c = 5.020 Å
α = 89.98°, β = 85.94°, γ = 100.86°
Atoms (fractional coordinates):
Ca1 0.978 0.679 0.149
Ca2 0.687 0.533 0.676
Tc1 0.327 0.853 0.856
Tc2 0.348 0.363 0.260
Ir1 0.623 0.002 0.179
Ir2 0.100 0.240 0.623


First-principles (PBE-GGA) data for a geometry-optimized Ca2TcIr structure, as listed in Alexandria.

Energy above the lowest structure with this stoichiometry in eV per formula unit: 0.26
Total energy in eV/cell: -22.66

a = 3.244 Å, b = 3.244 Å, c = 9.020 Å
α = 90.00°, β = 90.00°, γ = 90.00°
Atoms (fractional coordinates):
Tc1 0.500 0.500 0.689
Ca1 0.000 0.000 0.932
Ca2 0.500 0.500 0.323
Ir1 0.000 0.000 0.556


First-principles (PBE-GGA) data for a geometry-optimized Ca2TcIr structure, as listed in Alexandria.

Energy above the lowest structure with this stoichiometry in eV per formula unit: 1.19
Total energy in eV/cell: -21.74

a = 2.970 Å, b = 2.970 Å, c = 9.005 Å
α = 90.00°, β = 90.00°, γ = 90.13°
Each line ends with the local moment (μB).
Atoms (fractional coordinates):
Tc1 0.500 0.500 0.750  0.48
Ca1 0.000 0.000 0.020  0.00
Ca2 0.000 0.000 0.480  0.00
Ir1 0.500 0.500 0.250  -0.01


First-principles (PBE-GGA) data for a geometry-optimized CaTcIr structure, as listed in Alexandria.

Energy above the lowest structure with this stoichiometry in eV per formula unit: 0.14
Total energy in eV/cell: -86.19

a = 7.303 Å, b = 4.410 Å, c = 7.297 Å
α = 90.00°, β = 90.00°, γ = 90.00°
Atoms (fractional coordinates):
Ca1 0.998 0.250 0.824
Ca2 0.502 0.750 0.324
Ca3 0.002 0.750 0.176
Ca4 0.498 0.250 0.676
Tc1 0.660 0.750 0.912
Tc2 0.840 0.250 0.412
Tc3 0.340 0.250 0.088
Tc4 0.160 0.750 0.588
Ir1 0.677 0.250 0.094
Ir2 0.323 0.750 0.906
Ir3 0.177 0.250 0.406
Ir4 0.823 0.750 0.594


no.,ΔH_f (0 K) (eV/atom),size of the total moment (μB/f.u.)
1,0.0823,0.0
2,0.1422,0.0
3,0.3727,0.5
4,-0.1059,0.0